(1)
Entry from Alexandria: NdSn3Te6 after structural relaxation (PBE).

Cell and atoms, written as extended XYZ:
```
20
Lattice="4.3416 0.0000 0.0000 0.0000 12.9918 -0.3667 0.0000 -4.7039 12.0297" Properties=species:S:1:pos:R:3 pbc="T T T"
Te 3.2562 11.6214 0.7768
Sn 3.2562 2.0288 10.0525
Te 1.0854 -3.3334 10.8861
Te 1.0854 1.2781 3.3713
Sn 3.2562 1.5709 1.3792
Te 1.0854 -0.2891 9.0415
Te 3.2562 8.5771 2.6215
Te 3.2562 7.0098 8.2916
Te 1.0854 9.2539 5.9703
Te 3.2562 -0.9660 5.6927
Nd 3.2562 -2.6468 8.5398
Sn 1.0854 6.2592 1.6104
Sn 3.2562 7.0524 5.1304
Te 1.0854 5.1071 4.3640
Te 3.2562 3.1809 7.2989
Sn 1.0854 1.2356 6.5326
Nd 1.0854 10.9347 3.1231
Te 3.2562 4.5090 0.4757
Sn 1.0854 6.7171 10.2838
Te 1.0854 3.7789 11.1873
```



(2)
Entry from Alexandria: NdSnTe4 after structural relaxation (PBE).

Cell and atoms, written as extended XYZ:
```
12
Lattice="-4.9073 -0.0582 4.0376 7.2106 -1.3426 3.6072 1.1347 10.1947 1.5261" Properties=species:S:1:pos:R:3 pbc="T T T"
Te 3.0745 6.6288 6.2865
Te -0.3265 9.0843 5.9730
Te -0.7632 5.1609 5.3857
Te 0.3635 2.1651 2.8844
Te 4.2012 3.6331 3.7852
Nd 5.3698 6.7204 3.9684
Nd -1.9318 2.0736 5.2025
Sn -2.7214 7.4527 5.0924
Sn 6.1594 1.3412 4.0785
Te 3.4213 1.3087 6.3321
Te 0.0167 7.4853 2.8388
Te 3.7645 -0.2903 3.1979
```



(3)
14
Lattice="-3.1278 1.5495 -3.0545 -1.9936 -7.5687 -1.7979 -9.0492 0.1629 9.3488" Properties=species:S:1:pos:R:3 comment="Nd2SnTe4, optimized geometry, DFT PBE" de_polymorph_mev_per_atom=15 pbc="T T T"
Nd -8.5229 -2.2108 4.0842
Nd -10.8066 -5.9720 4.5147
Te -8.3330 -4.7176 6.1398
Nd -5.6477 -3.6456 0.4123
Te -10.6908 -0.9074 6.9652
Nd -3.3640 0.1156 -0.0183
Te -7.9757 -4.7586 2.2315
Te -6.7962 -0.9430 6.4808
Te -6.1949 -1.0978 2.2650
Te -3.4798 -4.9489 -2.4688
Te -4.2467 -6.4628 1.0702
Te -2.7098 -2.6882 1.4112
Sn -0.9968 -3.7843 -0.8989
Sn -4.5246 0.0814 4.6744



(4)
4
Lattice="3.7528 0.0000 0.0000 0.0000 3.7528 0.0000 0.0000 0.0000 8.3539" Properties=species:S:1:pos:R:3 comment="Nd2SnTe, optimized geometry, DFT PBE" de_polymorph_mev_per_atom=185 pbc="T T T"
Nd 0.0000 0.0000 2.0294
Nd 0.0000 0.0000 6.3245
Sn 1.8764 1.8764 4.1769
Te 1.8764 1.8764 0.0000



(5)
Entry from Alexandria: Nd3SnTe6 after structural relaxation (PBE).

Cell and atoms, written as extended XYZ:
```
20
Lattice="-5.8654 -0.7741 4.8104 -5.7212 -2.9892 -7.4571 3.8059 -8.4893 3.2746" Properties=species:S:1:pos:R:3 pbc="T T T"
Te -2.0032 -7.7431 3.8869
Te -4.3318 -4.3187 -4.4447
Sn 1.7603 -7.3864 1.1846
Nd -6.4248 -10.6636 2.3483
Te -2.6791 -7.5377 -2.3194
Te -4.8892 -8.3419 0.8998
Te -7.0431 -2.9887 -0.3117
Nd -2.2881 -6.5421 0.7213
Te -7.7285 -7.0961 -1.8084
Nd -6.9895 -5.9080 1.1342
Nd -4.1056 -1.9519 0.5346
Te -2.0555 -3.8004 -0.9576
Te -0.4387 -9.2244 0.6944
Te -9.4714 -3.6819 -3.8386
Te 2.4307 -8.4730 3.8596
Te 0.2467 -5.1170 2.1911
Sn -6.8285 -4.5082 -2.7813
Nd -5.3187 -9.2220 -2.1145
Nd -5.2117 -3.3934 4.9974
Te -4.2656 -4.6046 2.2616
```



(6)
6
Lattice="4.3902 -0.1347 -1.1374 -0.5132 5.7749 -2.6644 -0.3194 0.0518 7.8139" Properties=species:S:1:pos:R:3 comment="Nd3SnTe2, optimized geometry, DFT PBE" de_polymorph_mev_per_atom=4 pbc="T T T"
Nd 3.0371 4.7689 2.1113
Te 0.2885 3.8531 0.6556
Sn 2.1951 -0.0673 -0.5687
Nd 0.5205 0.9232 1.9007
Te 3.2691 1.8390 3.3564
Nd 1.9385 2.8201 -1.9009



(7)
Entry from Alexandria: Nd8Sn2Te after structural relaxation (PBE).

Cell and atoms, written as extended XYZ:
```
11
Lattice="-2.1186 2.5918 3.5019 -7.0986 -2.6987 -2.2972 2.3663 -8.4643 4.3453" Properties=species:S:1:pos:R:3 pbc="T T T"
Nd -0.9056 -1.1589 3.6608
Nd -4.8721 -4.5023 3.7356
Nd -1.7876 -0.6956 -0.5667
Nd -5.0633 -7.8757 6.1167
Nd -1.9788 -4.0689 1.8144
Nd -2.3577 -7.0257 3.7735
Nd -4.4932 -1.5455 1.7765
Nd -5.9453 -7.4123 1.8892
Sn -1.8354 -3.9881 5.1923
Te -1.0593 1.2959 1.7509
Sn -5.0155 -4.5831 0.3577
```



(8)
16
Lattice="6.3865 0.0000 0.0000 0.0000 6.3728 0.2560 0.0000 -0.5144 12.8227" Properties=species:S:1:pos:R:3 comment="Nd2SnTe, optimized geometry, DFT PBE" de_polymorph_mev_per_atom=0 pbc="T T T"
Nd 1.5969 -0.0610 1.6320
Sn 1.5969 6.1715 5.0649
Te 1.5962 -0.4391 11.2211
Nd 4.7902 3.1175 1.7029
Nd 4.7902 -0.1883 4.8365
Sn 4.7896 -0.3131 8.0138
Nd 1.5969 2.9902 4.9074
Nd 1.5963 2.7409 11.3758
Nd 1.5963 6.0467 8.2422
Nd 4.7896 2.8682 8.1713
Sn 4.7896 2.7279 11.3482
Te 4.7903 3.0045 4.9377
Te 4.7903 6.2975 1.8576
Sn 1.5969 3.1305 1.7305
Te 1.5962 2.8539 8.1409
Nd 4.7896 5.9194 11.4467



Which total magnetic moment belongs to each record? In order, 0.00, 0.00, 0.00, 0.40, 0.00, 0.00, 0.00, 0.00 μB/cell.
Which E_form (uncorrected) belongs to each record? In order, -11.196, -12.373, -24.152, -22.136, -25.154, -29.084, -11.574, -26.392 kcal/mol of atoms.
Which DOS(E_F) belongs to each record? In order, 0.39, 0.39, 0.09, 0.94, 0.32, 0.38, 1.31, 0.23 states/eV/atom.